Record 1
Entry from Alexandria: a geometry-optimized Pr4Al2Cl5 structure (PBE).

The structure belongs to space group C2/m (No. 12); the cell edges are 24.5967, 3.9600 and 8.7102 Å and the angles 90.00°, 105.10° and 90.00°. The asymmetric unit holds Pr at (0.0143, 0.0000, 0.2673), Pr at (0.1631, 0.5000, 0.4679), Al at (0.0539, 0.5000, 0.5599), Cl at (0.0000, 0.5000, 0.0000), Cl at (0.1295, 0.0000, 0.2296) and Cl at (0.2316, 0.0000, 0.6614).

For the density of states at the Fermi level, the calculation gives 5.81 states/eV/f.u. Its total energy is -0.33825 Ry per atom. The formation energy (no corrections) comes out at -31.0 kcal/mol of atoms. The crystal system is monoclinic.

Record 2
Entry from Alexandria: a geometry-optimized PrAlCl structure (PBE).

The structure belongs to space group R-3m (No. 166, hexagonal axes); the cell edges are 4.3027, 4.3027 and 32.8839 Å and the angles 90.00°, 90.00° and 120.00°. The asymmetric unit holds Pr at (0.0000, 0.0000, 0.0668), Al at (0.0000, 0.0000, 0.3394) and Cl at (0.0000, 0.0000, 0.2181).

For the density of states at the Fermi level, the calculation gives 0.88 states/eV/f.u. Its total energy is -0.34673 Ry per atom. The formation energy (no corrections) comes out at -29.1 kcal/mol of atoms. The crystal system is trigonal.

Record 3
Entry from Alexandria: a geometry-optimized PrAl2Cl8 structure (PBE).

The structure belongs to space group C2/m (No. 12); the cell edges are 13.7789, 8.9219 and 6.5808 Å and the angles 90.00°, 99.55° and 90.00°. The asymmetric unit holds Pr at (0.0000, 0.0000, 0.0000), Al at (0.1897, 0.0000, 0.6541), Cl at (0.1078, 0.1885, 0.7560), Cl at (0.1589, 0.5000, 0.2251) and Cl at (0.1726, 0.0000, 0.3131).

For the density of states at the Fermi level, the calculation gives 0.52 states/eV/f.u. Its total energy is -0.29906 Ry per atom. The formation energy (no corrections) comes out at -37.1 kcal/mol of atoms. The crystal system is monoclinic.

Record 4
Entry from Alexandria: a geometry-optimized AlPtCl2 structure (PBE).

The structure belongs to space group Cmmm (No. 65); the cell edges are 3.0298, 5.3998 and 9.2982 Å and the angles 90.00°, 90.00° and 90.00°. The asymmetric unit holds Al at (0.0000, 0.0000, 0.0000), Pt at (0.0000, 0.0000, 0.5000) and Cl at (0.0000, 0.5000, 0.1881).

For the density of states at the Fermi level, the calculation gives 3.41 states/eV/f.u. Its total energy is -0.24003 Ry per atom. The energy relative to the lowest polymorph listed for this composition is 824 meV per atom. The formation energy (no corrections) comes out at 2.4 kcal/mol of atoms. The crystal system is orthorhombic.

no.,density (g/cm³)
1,3.22
2,3.84
3,1.99
4,6.40